HfNb2Se6 | GGA-PBE | optimized geometry Values from VASP.

Cell and atoms, written as Quantum ESPRESSO input:
```
&SYSTEM
  ibrav = 0, nat = 18, ntyp = 3
/
ATOMIC_SPECIES
Hf 178.49 Hf.upf
Nb 92.91 Nb.upf
Se 78.96 Se.upf
CELL_PARAMETERS angstrom
-2.193 4.381 4.176
-3.949 -4.402 2.544
7.628 -2.819 6.962
ATOMIC_POSITIONS crystal
Hf 0.000 0.000 0.000
Hf 0.500 0.500 0.500
Nb 0.000 0.000 0.342
Nb 0.500 0.500 0.842
Nb 0.500 0.500 0.158
Nb 0.000 0.000 0.658
Se 0.295 0.295 0.329
Se 0.705 0.705 0.329
Se 0.205 0.795 0.829
Se 0.795 0.205 0.829
Se 0.205 0.795 0.171
Se 0.795 0.205 0.171
Se 0.295 0.295 0.671
Se 0.705 0.705 0.671
Se 0.294 0.294 0.000
Se 0.706 0.706 0.000
Se 0.206 0.794 0.500
Se 0.794 0.206 0.500
```

**E_form (uncorrected)**: -0.80 eV/atom
**Symmetry**: No. 136



ThHgPdRh | GGA-PBE | optimized geometry Values from VASP.

Cell and atoms, written as Quantum ESPRESSO input:
```
&SYSTEM
  ibrav = 0, nat = 4, ntyp = 4
/
ATOMIC_SPECIES
Pd 106.42 Pd.upf
Rh 102.91 Rh.upf
Hg 200.59 Hg.upf
Th 232.04 Th.upf
CELL_PARAMETERS angstrom
-1.504 -0.659 4.597
-4.537 -1.570 0.883
-0.732 -4.515 1.705
ATOMIC_POSITIONS crystal
Pd 0.000 0.000 0.000
Rh 0.500 0.500 0.500
Hg 0.750 0.750 0.750
Th 0.250 0.250 0.250
```

**Symmetry**: No. 216
**Energy of formation from the pure elements**: -0.5764 eV per atom



What did the first record say?
HfNb2Se6 | GGA-PBE | optimized geometry Values from VASP.

Cell and atoms, written as Quantum ESPRESSO input:
```
&SYSTEM
  ibrav = 0, nat = 18, ntyp = 3
/
ATOMIC_SPECIES
Hf 178.49 Hf.upf
Nb 92.91 Nb.upf
Se 78.96 Se.upf
CELL_PARAMETERS angstrom
-2.193 4.381 4.176
-3.949 -4.402 2.544
7.628 -2.819 6.962
ATOMIC_POSITIONS crystal
Hf 0.000 0.000 0.000
Hf 0.500 0.500 0.500
Nb 0.000 0.000 0.342
Nb 0.500 0.500 0.842
Nb 0.500 0.500 0.158
Nb 0.000 0.000 0.658
Se 0.295 0.295 0.329
Se 0.705 0.705 0.329
Se 0.205 0.795 0.829
Se 0.795 0.205 0.829
Se 0.205 0.795 0.171
Se 0.795 0.205 0.171
Se 0.295 0.295 0.671
Se 0.705 0.705 0.671
Se 0.294 0.294 0.000
Se 0.706 0.706 0.000
Se 0.206 0.794 0.500
Se 0.794 0.206 0.500
```

**E_form (uncorrected)**: -0.80 eV/atom
**Symmetry**: No. 136